A geometry-optimized Tl2ReBiOs structure, computed with PBEsol.

Values from the calculation:
Space group = P4/mmm (123)
Density of states at the Fermi level = 3.7 states/eV/cell
Mass density = 12.9 Mg/m³
Crystal system = tetragonal

Lattice parameters (Å, degrees): 4.806 5.160 5.160 90.00 90.00 90.00
Last column: magnetic moment on the atom in μB.
Fractional positions:
Os  0.000  0.000  0.000  -0.04
Bi  0.500  0.500  0.500  -0.11
Re  0.500  0.000  0.000  1.15
Tl  0.000  0.000  0.500  -0.01
Tl  0.000  0.500  0.000  -0.01

=====

A geometry-optimized TiBi2OsRh structure, computed with PBEsol.

Values from the calculation:
Space group = P4/mmm (123)
Density of states at the Fermi level = 5.4 states/eV/cell
Mass density = 10.6 Mg/m³
Crystal system = tetragonal

Lattice parameters (Å, degrees): 4.454 5.168 5.168 90.00 90.00 90.00
Fractional positions:
Os  0.500  0.000  0.000
Bi  0.000  0.000  0.500
Bi  0.000  0.500  0.000
Rh  0.500  0.500  0.500
Ti  0.000  0.000  0.000

=====

Number 1: energy of formation 1.224 eV/atom. Number 2: energy of formation 1.340 eV/atom.